Version A
Entry from Alexandria: CuBPb after structural relaxation (PBE). Values from VASP.

Cell and atoms, written as Quantum ESPRESSO input:
```
&SYSTEM
  ibrav = 0, nat = 6, ntyp = 3
/
ATOMIC_SPECIES
Cu 63.55 Cu.upf
B 10.81 B.upf
Pb 207.20 Pb.upf
ATOMIC_POSITIONS crystal
Cu 0.3333 0.6667 0.2500
Cu 0.6667 0.3333 0.7500
B 0.0000 0.0000 0.2500
B 0.0000 0.0000 0.7500
Pb 0.0000 0.0000 0.0000
Pb 0.0000 0.0000 0.5000
CELL_PARAMETERS angstrom
3.5351 0.0000 0.0000
-1.7676 3.0615 0.0000
0.0000 0.0000 10.1491
```

Summary:
Magnetic moment = 0.00 μB per atom
Symmetry = P6_3/mmc
Crystal system = hexagonal


Version B
Entry from Alexandria: CuBPb after structural relaxation (PBE). Values from VASP.

Cell and atoms, written as Quantum ESPRESSO input:
```
&SYSTEM
  ibrav = 0, nat = 6, ntyp = 3
/
ATOMIC_SPECIES
Cu 63.55 Cu.upf
B 10.81 B.upf
Pb 207.20 Pb.upf
ATOMIC_POSITIONS crystal
Cu 0.2500 0.2500 0.0605
Cu 0.7500 0.7500 0.9395
B 0.2500 0.7500 0.5000
B 0.7500 0.2500 0.5000
Pb 0.2500 0.2500 0.7324
Pb 0.7500 0.7500 0.2676
CELL_PARAMETERS angstrom
3.0248 0.0000 0.0000
0.0000 3.0248 0.0000
0.0000 0.0000 10.6158
```

Summary:
Magnetic moment = 0.00 μB per atom
Symmetry = P4/nmm
Crystal system = tetragonal


Version C
Entry from Alexandria: CuBPb after structural relaxation (PBE). Values from VASP.

Cell and atoms, written as Quantum ESPRESSO input:
```
&SYSTEM
  ibrav = 0, nat = 6, ntyp = 3
/
ATOMIC_SPECIES
Cu 63.55 Cu.upf
B 10.81 B.upf
Pb 207.20 Pb.upf
ATOMIC_POSITIONS crystal
Cu 0.0000 0.0000 0.0000
Cu 0.3873 0.6125 0.9980
B 0.5269 0.1392 0.9842
B 0.8604 0.4734 0.0133
Pb 0.4673 0.0780 0.6363
Pb 0.9225 0.5347 0.3613
CELL_PARAMETERS angstrom
3.9867 0.0000 0.0000
-0.9074 3.8829 0.0000
-0.3863 -0.6954 7.5503
```

Summary:
Magnetic moment = 0.00 μB per atom
Symmetry = P1
Crystal system = triclinic


Version D
Entry from Alexandria: CuBPb after structural relaxation (PBE). Values from VASP.

Cell and atoms, written as Quantum ESPRESSO input:
```
&SYSTEM
  ibrav = 0, nat = 12, ntyp = 3
/
ATOMIC_SPECIES
Cu 63.55 Cu.upf
B 10.81 B.upf
Pb 207.20 Pb.upf
ATOMIC_POSITIONS crystal
Cu 0.1707 0.2500 0.0164
Cu 0.3293 0.7500 0.5164
Cu 0.6707 0.2500 0.4836
Cu 0.8293 0.7500 0.9836
B 0.0000 0.0000 0.5000
B 0.0000 0.5000 0.5000
B 0.5000 0.0000 0.0000
B 0.5000 0.5000 0.0000
Pb 0.1500 0.7500 0.7923
Pb 0.3500 0.2500 0.2923
Pb 0.6500 0.7500 0.7077
Pb 0.8500 0.2500 0.2077
CELL_PARAMETERS angstrom
6.1548 0.0000 0.0000
0.0000 3.1808 0.0000
0.0000 0.0000 10.9430
```

Summary:
Magnetic moment = 0.00 μB per atom
Symmetry = Pnma
Crystal system = orthorhombic


On energetic grounds, version C is preferred over the next structure by 52 meV per atom.


Version A
Entry from Alexandria: CuB3Pb after structural relaxation (PBE). Values from VASP.

Cell and atoms, written as Quantum ESPRESSO input:
```
&SYSTEM
  ibrav = 0, nat = 5, ntyp = 3
/
ATOMIC_SPECIES
Cu 63.55 Cu.upf
B 10.81 B.upf
Pb 207.20 Pb.upf
ATOMIC_POSITIONS crystal
Cu 0.0000 0.0000 0.0000
B 0.0000 0.5000 0.5000
B 0.5000 0.0000 0.5000
B 0.5000 0.5000 0.0000
Pb 0.5000 0.5000 0.5000
CELL_PARAMETERS angstrom
4.6442 0.0000 0.0000
0.0000 4.6442 0.0000
0.0000 0.0000 4.6442
```

Summary:
Magnetic moment = 0.00 μB per atom
Symmetry = Pm-3m
Crystal system = cubic


Version B
Entry from Alexandria: CuB3Pb after structural relaxation (PBE). Values from VASP.

Cell and atoms, written as Quantum ESPRESSO input:
```
&SYSTEM
  ibrav = 0, nat = 5, ntyp = 3
/
ATOMIC_SPECIES
Cu 63.55 Cu.upf
B 10.81 B.upf
Pb 207.20 Pb.upf
ATOMIC_POSITIONS crystal
Cu 0.0000 0.0000 0.0000
B 0.0000 0.0000 0.5000
B 0.0000 0.5000 0.0000
B 0.5000 0.0000 0.0000
Pb 0.5000 0.5000 0.5000
CELL_PARAMETERS angstrom
4.1135 0.0000 0.0000
0.0000 4.1135 0.0000
0.0000 0.0000 4.1135
```

Summary:
Magnetic moment = 0.00 μB per atom
Symmetry = Pm-3m
Crystal system = cubic


On energetic grounds, version B is preferred over the next structure by 1145 meV per atom.


Version A
Entry from Alexandria: CuB2Pb after structural relaxation (PBE). Values from VASP.

Cell and atoms, written as Quantum ESPRESSO input:
```
&SYSTEM
  ibrav = 0, nat = 4, ntyp = 3
/
ATOMIC_SPECIES
Cu 63.55 Cu.upf
B 10.81 B.upf
Pb 207.20 Pb.upf
ATOMIC_POSITIONS crystal
Cu 0.0000 0.0000 0.0000
B 0.2500 0.2500 0.2500
B 0.7500 0.7500 0.7500
Pb 0.5000 0.5000 0.5000
CELL_PARAMETERS angstrom
0.0000 3.0671 3.0671
3.0671 0.0000 3.0671
3.0671 3.0671 0.0000
```

Summary:
Magnetic moment = 0.00 μB per atom
Symmetry = Fm-3m
Crystal system = cubic


Version B
Entry from Alexandria: CuB2Pb after structural relaxation (PBE). Values from VASP.

Cell and atoms, written as Quantum ESPRESSO input:
```
&SYSTEM
  ibrav = 0, nat = 8, ntyp = 3
/
ATOMIC_SPECIES
Cu 63.55 Cu.upf
B 10.81 B.upf
Pb 207.20 Pb.upf
ATOMIC_POSITIONS crystal
Cu 0.3750 0.6250 0.7500
Cu 0.6250 0.3750 0.2500
B 0.0000 0.5000 0.5000
B 0.5000 0.0000 0.0000
B 0.5000 0.5000 0.0000
B 0.5000 0.5000 0.5000
Pb 0.1250 0.8750 0.2500
Pb 0.8750 0.1250 0.7500
CELL_PARAMETERS angstrom
-1.9584 1.9584 7.3554
1.9584 -1.9584 7.3554
1.9584 1.9584 -7.3554
```

Summary:
Magnetic moment = 0.00 μB per atom
Symmetry = I4_1/amd
Crystal system = tetragonal


On energetic grounds, version B is preferred over the next structure by 825 meV per atom.


Version A
Entry from Alexandria: CuSiB2Pb after structural relaxation (PBE). Values from VASP.

Cell and atoms, written as Quantum ESPRESSO input:
```
&SYSTEM
  ibrav = 0, nat = 5, ntyp = 4
/
ATOMIC_SPECIES
Cu 63.55 Cu.upf
Si 28.09 Si.upf
B 10.81 B.upf
Pb 207.20 Pb.upf
ATOMIC_POSITIONS crystal
Cu 0.0000 0.0000 0.0000
Si 0.0000 0.0000 0.5000
B 0.0000 0.5000 0.0000
B 0.5000 0.0000 0.0000
Pb 0.5000 0.5000 0.5000
CELL_PARAMETERS angstrom
3.9745 0.0000 0.0000
0.0000 3.9745 0.0000
0.0000 0.0000 5.1564
```

Summary:
Magnetic moment = 0.00 μB per atom
Symmetry = P4/mmm
Crystal system = tetragonal


Version B
Entry from Alexandria: CuSiB2Pb after structural relaxation (PBE). Values from VASP.

Cell and atoms, written as Quantum ESPRESSO input:
```
&SYSTEM
  ibrav = 0, nat = 5, ntyp = 4
/
ATOMIC_SPECIES
Cu 63.55 Cu.upf
Si 28.09 Si.upf
B 10.81 B.upf
Pb 207.20 Pb.upf
ATOMIC_POSITIONS crystal
Cu 0.0000 0.0000 0.0000
Si 0.0000 0.0000 0.5000
B 0.0000 0.5000 0.5000
B 0.5000 0.0000 0.5000
Pb 0.5000 0.5000 0.0000
CELL_PARAMETERS angstrom
4.0418 0.0000 0.0000
0.0000 4.0418 0.0000
0.0000 0.0000 4.8751
```

Summary:
Magnetic moment = 0.00 μB per atom
Symmetry = P4/mmm
Crystal system = tetragonal


On energetic grounds, version B is preferred over the next structure by 132 meV per atom.


Version A
Entry from Alexandria: Cu2BPd5 after structural relaxation (PBE). Values from VASP.

Cell and atoms, written as Quantum ESPRESSO input:
```
&SYSTEM
  ibrav = 0, nat = 8, ntyp = 3
/
ATOMIC_SPECIES
Cu 63.55 Cu.upf
B 10.81 B.upf
Pd 106.42 Pd.upf
ATOMIC_POSITIONS crystal
Cu 0.2502 0.7498 0.0000
Cu 0.7498 0.2502 0.0000
B 0.0345 0.0345 0.5014
Pd 0.2536 0.2536 0.0076
Pd 0.2537 0.7489 0.5004
Pd 0.7463 0.7463 0.4996
Pd 0.7478 0.7478 0.9941
Pd 0.7489 0.2537 0.5004
CELL_PARAMETERS angstrom
3.6921 -4.0235 0.0000
3.6921 4.0235 0.0000
-3.6788 0.0000 4.0088
```

Summary:
Magnetic moment = 0.00 μB per atom
Symmetry = Cm
Crystal system = monoclinic


Version B
Entry from Alexandria: Cu2BPd5 after structural relaxation (PBE). Values from VASP.

Cell and atoms, written as Quantum ESPRESSO input:
```
&SYSTEM
  ibrav = 0, nat = 16, ntyp = 3
/
ATOMIC_SPECIES
Cu 63.55 Cu.upf
B 10.81 B.upf
Pd 106.42 Pd.upf
ATOMIC_POSITIONS crystal
Cu 0.1363 0.1508 0.0000
Cu 0.3637 0.6508 0.0000
Cu 0.6363 0.3492 0.0000
Cu 0.8637 0.8492 0.0000
B 0.0000 0.5000 0.5000
B 0.5000 0.0000 0.5000
Pd 0.0000 0.0000 0.5000
Pd 0.0962 0.7072 0.5000
Pd 0.1783 0.4092 0.0000
Pd 0.3217 0.9092 0.0000
Pd 0.4038 0.2072 0.5000
Pd 0.5000 0.5000 0.5000
Pd 0.5962 0.7928 0.5000
Pd 0.6783 0.0908 0.0000
Pd 0.8217 0.5908 0.0000
Pd 0.9038 0.2928 0.5000
CELL_PARAMETERS angstrom
5.4440 0.0000 0.0000
0.0000 9.8212 0.0000
0.0000 0.0000 4.0495
```

Summary:
Magnetic moment = 0.00 μB per atom
Symmetry = Pbam
Crystal system = orthorhombic


On energetic grounds, version B is preferred over the next structure by 51 meV per atom.